No. 1
! PBE Pr3Ni4Ge4, optimized geometry; values from VASP
! ΔH_f (0 K): -0.64 eV per atom
! calculated density: 7.48 Mg/m³
! SG: Immm (71)
&SYSTEM
  ibrav = 0, nat = 11, ntyp = 3
/
ATOMIC_SPECIES
Pr 140.91 Pr.upf
Ni 58.69 Ni.upf
Ge 72.64 Ge.upf
CELL_PARAMETERS angstrom
-2.076 2.090 12.128
2.076 -2.090 12.128
2.076 2.090 -12.128
ATOMIC_POSITIONS crystal
Pr 0.000 0.000 0.000
Pr 0.149 0.649 0.500
Pr 0.851 0.351 0.500
Ni 0.301 0.801 0.500
Ni 0.450 0.450 0.000
Ni 0.550 0.550 0.000
Ni 0.699 0.199 0.500
Ge 0.250 0.250 0.000
Ge 0.400 0.900 0.500
Ge 0.600 0.100 0.500
Ge 0.750 0.750 0.000

=====

No. 2
! PBE SrIn2Br, optimized geometry; values from VASP
! offset from the most stable computed form: 0.66 eV per formula unit
! formation energy from raw total energies: -206 kJ/mol of formula units
! calculated density: 5.49 Mg/m³
! SG: I-4m2 (119)
&SYSTEM
  ibrav = 0, nat = 4, ntyp = 3
/
ATOMIC_SPECIES
Sr 87.62 Sr.upf
In 114.82 In.upf
Br 79.90 Br.upf
CELL_PARAMETERS angstrom
-2.611 2.611 4.403
2.611 -2.611 4.403
2.611 2.611 -4.403
ATOMIC_POSITIONS crystal
Sr 0.000 0.000 0.000
In 0.500 0.500 0.000
In 0.750 0.250 0.500
Br 0.250 0.750 0.500

=====

No. 3
! PBE Ac4SiIr, optimized geometry; values from VASP
! formation energy from raw total energies: -194 kJ/mol of formula units
! calculated density: 7.76 Mg/m³
! SG: I-4m2 (119)
&SYSTEM
  ibrav = 0, nat = 6, ntyp = 3
/
ATOMIC_SPECIES
Ac 227.00 Ac.upf
Si 28.09 Si.upf
Ir 192.22 Ir.upf
CELL_PARAMETERS angstrom
-3.077 3.077 6.374
3.077 -3.077 6.374
3.077 3.077 -6.374
ATOMIC_POSITIONS crystal
Ac 0.231 0.231 0.000
Ac 0.505 0.005 0.500
Ac 0.769 0.769 0.000
Ac 0.995 0.495 0.500
Si 0.750 0.250 0.500
Ir 0.000 0.000 0.000

=====

No. 4
! PBE ScCd2, optimized geometry; values from VASP
! ΔH_f (0 K): 0.41 eV per atom
! calculated density: 5.28 Mg/m³
! SG: Pa-3 (205)
&SYSTEM
  ibrav = 0, nat = 12, ntyp = 2
/
ATOMIC_SPECIES
Sc 44.96 Sc.upf
Cd 112.41 Cd.upf
CELL_PARAMETERS angstrom
6.974 0.000 0.000
0.000 6.974 0.000
0.000 0.000 6.974
ATOMIC_POSITIONS crystal
Sc 0.000 0.000 0.000
Sc 0.000 0.500 0.500
Sc 0.500 0.000 0.500
Sc 0.500 0.500 0.000
Cd 0.120 0.620 0.880
Cd 0.120 0.880 0.380
Cd 0.380 0.120 0.880
Cd 0.380 0.380 0.380
Cd 0.620 0.620 0.620
Cd 0.620 0.880 0.120
Cd 0.880 0.120 0.620
Cd 0.880 0.380 0.120

=====

No. 5
! PBE CsUW2S8, optimized geometry; values from VASP
! formation energy from raw total energies: -855 kJ/mol of formula units
! calculated density: 4.57 Mg/m³
! SG: R-3 (148)
&SYSTEM
  ibrav = 0, nat = 12, ntyp = 4
/
ATOMIC_SPECIES
Cs 132.91 Cs.upf
U 238.03 U.upf
W 183.84 W.upf
S 32.06 S.upf
CELL_PARAMETERS angstrom
3.272 1.889 9.755
-3.272 1.889 9.755
0.000 -3.778 9.755
ATOMIC_POSITIONS crystal
Cs 0.000 0.000 0.000
U 0.500 0.500 0.500
W 0.245 0.245 0.245
W 0.755 0.755 0.755
S 0.105 0.452 0.776
S 0.224 0.895 0.548
S 0.319 0.319 0.319
S 0.452 0.776 0.105
S 0.548 0.224 0.895
S 0.681 0.681 0.681
S 0.776 0.105 0.452
S 0.895 0.548 0.224

=====

No. 6
! PBE AcZr2V, optimized geometry; values from VASP
! ΔH_f (0 K): 0.56 eV per atom
! calculated density: 7.48 Mg/m³
! SG: R-3m (166)
&SYSTEM
  ibrav = 0, nat = 4, ntyp = 3
/
ATOMIC_SPECIES
Ac 227.00 Ac.upf
Zr 91.22 Zr.upf
V 50.94 V.upf
CELL_PARAMETERS angstrom
1.651 0.953 10.825
-1.651 0.953 10.825
0.000 -1.907 10.825
ATOMIC_POSITIONS crystal
Ac 0.000 0.000 0.000
Zr 0.102 0.102 0.102
Zr 0.898 0.898 0.898
V 0.500 0.500 0.500

=====

No. 7
! PBE USnPt, optimized geometry; values from VASP
! ΔH_f (0 K): -0.50 eV per atom
! calculated density: 13.78 Mg/m³
! SG: P-62m (189)
&SYSTEM
  ibrav = 0, nat = 9, ntyp = 3
/
ATOMIC_SPECIES
U 238.03 U.upf
Sn 118.71 Sn.upf
Pt 195.08 Pt.upf
CELL_PARAMETERS angstrom
7.460 0.000 0.000
-3.730 6.461 0.000
0.000 0.000 4.139
ATOMIC_POSITIONS crystal
U 0.000 0.415 0.000
U 0.415 0.000 0.000
U 0.585 0.585 0.000
Sn 0.000 0.747 0.500
Sn 0.253 0.253 0.500
Sn 0.747 0.000 0.500
Pt 0.000 0.000 0.000
Pt 0.333 0.667 0.500
Pt 0.667 0.333 0.500

=====

No. 8
! PBE Gd3HoRu, optimized geometry; values from VASP
! ΔH_f (0 K): -0.04 eV per atom
! calculated density: 7.73 Mg/m³
! SG: Pm-3m (221)
&SYSTEM
  ibrav = 0, nat = 5, ntyp = 3
/
ATOMIC_SPECIES
Gd 157.25 Gd.upf
Ho 164.93 Ho.upf
Ru 101.07 Ru.upf
CELL_PARAMETERS angstrom
5.412 0.000 0.000
0.000 5.412 0.000
0.000 0.000 5.412
ATOMIC_POSITIONS crystal
Gd 0.000 0.000 0.500
Gd 0.000 0.500 0.000
Gd 0.500 0.000 0.000
Ho 0.500 0.500 0.500
Ru 0.000 0.000 0.000

=====

No. 9
! PBE Pa2PN, optimized geometry; values from VASP
! offset from the most stable computed form: 1.35 eV per formula unit
! formation energy from raw total energies: -402 kJ/mol of formula units
! calculated density: 11.42 Mg/m³
! SG: R3m (160)
&SYSTEM
  ibrav = 0, nat = 4, ntyp = 3
/
ATOMIC_SPECIES
Pa 231.04 Pa.upf
P 30.97 P.upf
N 14.01 N.upf
CELL_PARAMETERS angstrom
1.769 1.021 6.802
-1.769 1.021 6.802
0.000 -2.043 6.802
ATOMIC_POSITIONS crystal
Pa 0.000 0.000 0.000
Pa 0.155 0.155 0.155
P 0.577 0.577 0.577
N 0.746 0.746 0.746

=====

No. 10
! PBE BaCu4, optimized geometry; values from VASP
! ΔH_f (0 K): 1.68 eV per atom
! calculated density: 3.72 Mg/m³
! SG: Pm-3m (221)
&SYSTEM
  ibrav = 0, nat = 5, ntyp = 2
/
ATOMIC_SPECIES
Ba 137.33 Ba.upf
Cu 63.55 Cu.upf
CELL_PARAMETERS angstrom
5.592 0.000 0.000
0.000 5.592 0.000
0.000 0.000 5.592
ATOMIC_POSITIONS crystal
Ba 0.000 0.000 0.000
Cu 0.000 0.000 0.500
Cu 0.000 0.500 0.000
Cu 0.500 0.000 0.000
Cu 0.500 0.500 0.500

=====

No. 11
! PBE SnS, optimized geometry; values from VASP
! formation energy from raw total energies: -59 kJ/mol of formula units
! calculated density: 2.10 Mg/m³
! SG: I-43m (217)
&SYSTEM
  ibrav = 0, nat = 8, ntyp = 2
/
ATOMIC_SPECIES
Sn 118.71 Sn.upf
S 32.06 S.upf
CELL_PARAMETERS angstrom
-4.921 4.921 4.921
4.921 -4.921 4.921
4.921 4.921 -4.921
ATOMIC_POSITIONS crystal
Sn 0.000 0.000 0.266
Sn 0.000 0.266 0.000
Sn 0.266 0.000 0.000
Sn 0.734 0.734 0.734
S 0.000 0.000 0.730
S 0.000 0.730 0.000
S 0.270 0.270 0.270
S 0.730 0.000 0.000

=====

No. 12
! PBE Mg2TlCu2, optimized geometry; values from VASP
! offset from the most stable computed form: 0.61 eV per formula unit
! ΔH_f (0 K): 0.10 eV per atom
! calculated density: 6.69 Mg/m³
! SG: P4/mbm (127)
&SYSTEM
  ibrav = 0, nat = 10, ntyp = 3
/
ATOMIC_SPECIES
Mg 24.30 Mg.upf
Tl 204.38 Tl.upf
Cu 63.55 Cu.upf
CELL_PARAMETERS angstrom
7.943 0.000 0.000
0.000 7.943 0.000
0.000 0.000 2.989
ATOMIC_POSITIONS crystal
Mg 0.136 0.364 0.000
Mg 0.364 0.864 0.000
Mg 0.636 0.136 0.000
Mg 0.864 0.636 0.000
Tl 0.000 0.000 0.000
Tl 0.500 0.500 0.000
Cu 0.156 0.656 0.500
Cu 0.344 0.156 0.500
Cu 0.656 0.844 0.500
Cu 0.844 0.344 0.500

=====

Number 1: Fermi-level density of states 8.93 states/eV per cell, total energy -63.024 eV/f.u.. Number 2: Fermi-level density of states 2.00 states/eV per cell, total energy -10.968 eV/f.u.. Number 3: Fermi-level density of states 5.38 states/eV per cell, total energy -32.733 eV/f.u.. Number 4: Fermi-level density of states 13.84 states/eV per cell, total energy -6.940 eV/f.u.. Number 5: Fermi-level density of states 4.52 states/eV per cell, total energy -79.927 eV/f.u.. Number 6: Fermi-level density of states 5.41 states/eV per cell, total energy -28.090 eV/f.u.. Number 7: Fermi-level density of states 17.20 states/eV per cell, total energy -22.823 eV/f.u.. Number 8: Fermi-level density of states 6.33 states/eV per cell, total energy -56.304 eV/f.u.. Number 9: Fermi-level density of states 4.87 states/eV per cell, total energy -36.892 eV/f.u.. Number 10: Fermi-level density of states 2.32 states/eV per cell, total energy -9.923 eV/f.u.. Number 11: Fermi-level density of states 0.00 states/eV per cell, total energy -8.746 eV/f.u.. Number 12: Fermi-level density of states 2.07 states/eV per cell, total energy -13.250 eV/f.u..